Record 1
## CeDyHg (PBE-GGA)

Data for an optimized crystal structure of CeDyHg.

Unit cell a=8.751 b=8.751 c=5.319 alpha=90.00 beta=90.00 gamma=156.56
Positions (direct):
Ce: 0.242 0.758 0.750
Ce: 0.758 0.242 0.250
Dy: 0.076 0.924 0.250
Dy: 0.924 0.076 0.750
Hg: 0.413 0.587 0.250
Hg: 0.587 0.413 0.750

Values from the calculation:
crystal system	orthorhombic
E	-3.8590	eV/atom
energy relative to the elements	-246	meV per atom
energy relative to the lowest polymorph listed for this composition	0.000	eV/atom

Record 2
## CeDy4Hg5 (PBE-GGA)

Data for an optimized crystal structure of CeDy4Hg5.

Unit cell a=3.722 b=3.722 c=18.936 alpha=90.00 beta=90.00 gamma=90.00
Positions (direct):
Ce: 0.000 0.000 0.000
Dy: 0.000 0.000 0.205
Dy: 0.000 0.000 0.402
Dy: 0.000 0.000 0.598
Dy: 0.000 0.000 0.795
Hg: 0.500 0.500 0.110
Hg: 0.500 0.500 0.303
Hg: 0.500 0.500 0.500
Hg: 0.500 0.500 0.697
Hg: 0.500 0.500 0.890

Values from the calculation:
crystal system	tetragonal
E	-3.0288	eV/atom
energy relative to the elements	-444	meV per atom

Record 3
## CeDyHg (PBE-GGA)

Data for an optimized crystal structure of CeDyHg.

Unit cell a=3.976 b=3.976 c=10.409 alpha=91.42 beta=91.42 gamma=88.80
Positions (direct):
Ce: 0.217 0.217 0.056
Ce: 0.783 0.783 0.944
Dy: 0.265 0.265 0.721
Dy: 0.735 0.735 0.279
Hg: 0.244 0.244 0.413
Hg: 0.756 0.756 0.587

Values from the calculation:
crystal system	monoclinic
E	-3.7817	eV/atom
energy relative to the elements	-169	meV per atom
energy relative to the lowest polymorph listed for this composition	0.077	eV/atom

Record 4
## Ce2DyHg4 (PBE-GGA)

Data for an optimized crystal structure of Ce2DyHg4.

Unit cell a=11.104 b=11.104 c=5.475 alpha=90.00 beta=90.00 gamma=162.45
Positions (direct):
Ce: 0.061 0.939 0.000
Ce: 0.939 0.061 0.000
Dy: 0.500 0.500 0.500
Hg: 0.306 0.694 0.000
Hg: 0.365 0.635 0.500
Hg: 0.635 0.365 0.500
Hg: 0.694 0.306 0.000

Values from the calculation:
crystal system	orthorhombic
E	-2.5705	eV/atom
energy relative to the elements	-45	meV per atom
energy relative to the lowest polymorph listed for this composition	0.181	eV/atom